[1]
CaMn3, relaxed, DFT PBEsol; E = -29.09 eV for the cell shown; space-group type = No. 123
1.0
2.915 0.000 0.000
0.000 2.915 0.000
0.000 0.000 6.806
Ca Mn
1 3
direct
0.000 0.000 0.000
0.000 0.000 0.500
0.500 0.500 0.335
0.500 0.500 0.665

=====

[2]
Ca3Mn, relaxed, DFT PBEsol; E = -14.07 eV for the cell shown; space-group type = No. 166
1.0
5.565 3.213 1.177
-5.565 3.213 1.177
0.000 -6.425 1.177
Ca Mn
3 1
direct
0.000 0.500 0.500
0.500 0.000 0.500
0.500 0.500 0.000
0.000 0.000 0.000

=====

[3]
CaMnMo2, relaxed, DFT PBEsol; E = -33.34 eV for the cell shown; space-group type = No. 99
1.0
3.168 0.000 0.000
0.000 3.168 0.000
0.000 0.000 7.271
Ca Mn Mo
1 1 2
direct
0.000 0.000 0.000
0.500 0.500 0.314
0.000 0.000 0.504
0.500 0.500 0.691

=====

[4]
CaMnMo2, relaxed, DFT PBEsol; E = -32.53 eV for the cell shown; space-group type = No. 160
1.0
1.532 0.884 8.911
-1.532 0.884 8.911
0.000 -1.769 8.911
Ca Mn Mo
1 1 2
direct
0.000 0.000 0.000
0.237 0.237 0.237
0.499 0.499 0.499
0.765 0.765 0.765

=====

[5]
CaMnMo3, relaxed, DFT PBEsol; E = -33.41 eV for the cell shown; space-group type = No. 221
1.0
4.500 0.000 0.000
0.000 4.500 0.000
0.000 0.000 4.500
Ca Mn Mo
1 1 3
direct
0.000 0.000 0.000
0.500 0.500 0.500
0.000 0.000 0.500
0.000 0.500 0.000
0.500 0.000 0.000

=====

[6]
Ca6MnN5, relaxed, DFT PBEsol; energy relative to the elements, uncorrected = -22.07 kcal/mol of atoms; space-group type = No. 193
1.0
6.155 0.000 0.000
-3.077 5.330 0.000
0.000 0.000 12.194
Ca Mn N
12 2 10
direct
0.000 0.394 0.119
0.000 0.394 0.381
0.000 0.606 0.619
0.000 0.606 0.881
0.394 0.000 0.119
0.394 0.000 0.381
0.394 0.394 0.619
0.394 0.394 0.881
0.606 0.000 0.619
0.606 0.000 0.881
0.606 0.606 0.119
0.606 0.606 0.381
0.000 0.000 0.250
0.000 0.000 0.750
0.000 0.286 0.750
0.000 0.714 0.250
0.286 0.000 0.750
0.286 0.286 0.250
0.333 0.667 0.000
0.333 0.667 0.500
0.667 0.333 0.000
0.667 0.333 0.500
0.714 0.000 0.250
0.714 0.714 0.750

=====

[7]
Ca4MnN4, relaxed, DFT PBEsol; energy relative to the elements, uncorrected = -21.34 kcal/mol of atoms; space-group type = No. 62
1.0
10.884 0.000 0.000
0.000 4.873 0.000
0.000 0.000 10.771
Ca Mn N
16 4 16
direct
0.059 0.250 0.113
0.095 0.750 0.318
0.132 0.750 0.660
0.233 0.250 0.477
0.267 0.750 0.977
0.368 0.250 0.160
0.405 0.250 0.818
0.441 0.750 0.613
0.559 0.250 0.387
0.595 0.750 0.182
0.632 0.750 0.840
0.733 0.250 0.023
0.767 0.750 0.523
0.868 0.250 0.340
0.905 0.250 0.682
0.941 0.750 0.887
0.130 0.250 0.852
0.370 0.750 0.352
0.630 0.250 0.648
0.870 0.750 0.148
0.017 0.750 0.105
0.076 0.250 0.332
0.173 0.250 0.701
0.236 0.250 0.974
0.264 0.750 0.474
0.327 0.750 0.201
0.424 0.750 0.832
0.483 0.250 0.605
0.517 0.750 0.395
0.576 0.250 0.168
0.673 0.250 0.799
0.736 0.250 0.526
0.764 0.750 0.026
0.827 0.750 0.299
0.924 0.750 0.668
0.983 0.250 0.895

=====

[8]
Ca9Mn2N8, relaxed, DFT PBEsol; energy relative to the elements, uncorrected = -20.87 kcal/mol of atoms; space-group type = No. 12
1.0
9.068 -2.438 0.000
9.068 2.438 0.000
-2.752 0.000 7.187
Ca Mn N
9 2 8
direct
0.000 0.000 0.000
0.090 0.090 0.484
0.173 0.173 0.944
0.307 0.307 0.689
0.464 0.464 0.267
0.536 0.536 0.733
0.693 0.693 0.311
0.827 0.827 0.056
0.910 0.910 0.516
0.305 0.305 0.300
0.695 0.695 0.700
0.036 0.036 0.745
0.212 0.212 0.307
0.318 0.318 0.092
0.390 0.390 0.499
0.610 0.610 0.501
0.682 0.682 0.908
0.788 0.788 0.693
0.964 0.964 0.255

=====

[9]
Ca2MnN3, relaxed, DFT PBEsol; energy relative to the elements, uncorrected = -21.65 kcal/mol of atoms; space-group type = No. 64
1.0
2.678 -5.169 0.000
2.678 5.169 0.000
0.000 0.000 11.484
Ca Mn N
8 4 12
direct
0.051 0.949 0.856
0.140 0.860 0.423
0.360 0.640 0.923
0.449 0.551 0.356
0.551 0.449 0.644
0.640 0.360 0.077
0.860 0.140 0.577
0.949 0.051 0.144
0.246 0.754 0.660
0.254 0.746 0.160
0.746 0.254 0.840
0.754 0.246 0.340
0.036 0.464 0.750
0.079 0.921 0.634
0.156 0.844 0.038
0.344 0.656 0.538
0.421 0.579 0.134
0.464 0.036 0.250
0.536 0.964 0.750
0.579 0.421 0.866
0.656 0.344 0.462
0.844 0.156 0.962
0.921 0.079 0.366
0.964 0.536 0.250

=====

[10]
Ca8Mn3N8, relaxed, DFT PBEsol; energy relative to the elements, uncorrected = -21.27 kcal/mol of atoms; space-group type = No. 12
1.0
8.768 -2.466 0.000
8.768 2.466 0.000
-1.932 0.000 6.780
Ca Mn N
8 3 8
direct
0.027 0.027 0.261
0.198 0.198 0.803
0.333 0.333 0.528
0.402 0.402 0.042
0.598 0.598 0.958
0.667 0.667 0.472
0.802 0.802 0.197
0.973 0.973 0.739
0.187 0.187 0.204
0.500 0.500 0.500
0.813 0.813 0.796
0.102 0.102 0.003
0.177 0.177 0.438
0.281 0.281 0.170
0.473 0.473 0.716
0.527 0.527 0.284
0.719 0.719 0.830
0.823 0.823 0.562
0.898 0.898 0.997

=====

[11]
Ca7MnN6, relaxed, DFT PBEsol; energy relative to the elements, uncorrected = -21.08 kcal/mol of atoms; space-group type = No. 60
1.0
10.770 0.000 0.000
0.000 6.172 0.000
0.000 0.000 12.806
Ca Mn N
28 4 24
direct
0.000 0.061 0.250
0.000 0.939 0.750
0.037 0.232 0.523
0.037 0.768 0.023
0.205 0.391 0.122
0.205 0.609 0.622
0.230 0.353 0.874
0.230 0.647 0.374
0.270 0.147 0.374
0.270 0.853 0.874
0.295 0.109 0.622
0.295 0.891 0.122
0.463 0.268 0.023
0.463 0.732 0.523
0.500 0.439 0.750
0.500 0.561 0.250
0.537 0.268 0.477
0.537 0.732 0.977
0.705 0.109 0.878
0.705 0.891 0.378
0.730 0.147 0.126
0.730 0.853 0.626
0.770 0.353 0.626
0.770 0.647 0.126
0.795 0.391 0.378
0.795 0.609 0.878
0.963 0.232 0.977
0.963 0.768 0.477
0.000 0.433 0.750
0.000 0.567 0.250
0.500 0.067 0.250
0.500 0.933 0.750
0.051 0.393 0.355
0.051 0.607 0.855
0.127 0.260 0.709
0.127 0.740 0.209
0.167 0.091 0.998
0.167 0.909 0.498
0.333 0.409 0.498
0.333 0.591 0.998
0.373 0.240 0.209
0.373 0.760 0.709
0.449 0.107 0.855
0.449 0.893 0.355
0.551 0.107 0.645
0.551 0.893 0.145
0.627 0.240 0.291
0.627 0.760 0.791
0.667 0.409 0.002
0.667 0.591 0.502
0.833 0.091 0.502
0.833 0.909 0.002
0.873 0.260 0.791
0.873 0.740 0.291
0.949 0.393 0.145
0.949 0.607 0.645

=====

[12]
Ca3Mn2N4, relaxed, DFT PBEsol; energy relative to the elements, uncorrected = -20.71 kcal/mol of atoms; space-group type = No. 52
1.0
5.564 0.000 0.000
0.000 9.418 0.000
0.000 0.000 8.931
Ca Mn N
12 8 16
direct
0.116 0.157 0.082
0.116 0.343 0.418
0.250 0.000 0.401
0.250 0.500 0.099
0.384 0.657 0.418
0.384 0.843 0.082
0.616 0.157 0.918
0.616 0.343 0.582
0.750 0.000 0.599
0.750 0.500 0.901
0.884 0.657 0.582
0.884 0.843 0.918
0.150 0.250 0.750
0.250 0.000 0.734
0.250 0.500 0.766
0.350 0.750 0.750
0.650 0.250 0.250
0.750 0.000 0.266
0.750 0.500 0.234
0.850 0.750 0.250
0.004 0.085 0.836
0.004 0.415 0.664
0.126 0.644 0.877
0.126 0.856 0.623
0.374 0.144 0.623
0.374 0.356 0.877
0.496 0.585 0.664
0.496 0.915 0.836
0.504 0.085 0.164
0.504 0.415 0.336
0.626 0.644 0.123
0.626 0.856 0.377
0.874 0.144 0.377
0.874 0.356 0.123
0.996 0.585 0.336
0.996 0.915 0.164

=====

Result set for total magnetic moment: 0.09, 4.28, 3.11, 3.00, 3.84, 2.00, 1.00, 2.54, 1.44, 3.00, 2.52, 1.81 μB per formula unit, one per record in the order listed.